1.
The following is a PBE calculation of crystalline NbCuHg2Ge at its relaxed geometry, from Alexandria.

Lattice parameters (Å, degrees): 5.408 5.408 4.740 90.00 90.00 90.00
Space group P4/mmm (No. 123)
Symmetry-distinct sites (fractional):
1 Nb 0.000 0.000 0.000 [1 per cell]
2 Cu 0.000 0.000 0.500 [1 per cell]
3 Hg 0.000 0.500 0.000 [2 per cell]
4 Ge 0.500 0.500 0.500 [1 per cell]

* raw total energy: -0.0994 hartree per atom

2.
The following is a PBE calculation of crystalline RbSrSe2Br at its relaxed geometry, from Alexandria.

Lattice parameters (Å, degrees): 5.993 5.993 6.037 90.00 90.00 90.00
Space group P4/mmm (No. 123)
Symmetry-distinct sites (fractional):
1 Rb 0.000 0.000 0.000 [1 per cell]
2 Sr 0.500 0.500 0.500 [1 per cell]
3 Se 0.000 0.500 0.500 [2 per cell]
4 Br 0.500 0.500 0.000 [1 per cell]

* ΔE_f (raw): -0.9926 eV/atom
* energy above the most stable polymorph in this dataset: 0 meV per atom

3.
The following is a PBE calculation of crystalline CaAcTbSc at its relaxed geometry, from Alexandria.

Lattice parameters (Å, degrees): 8.213 8.213 8.213 90.00 90.00 90.00
Space group F-43m (No. 216)
Symmetry-distinct sites (fractional):
1 Ca 0.000 0.000 0.000 [4 per cell]
2 Ac 0.250 0.250 0.250 [4 per cell]
3 Tb 0.250 0.250 0.750 [4 per cell]
4 Sc 0.000 0.000 0.500 [4 per cell]

* raw total energy: -0.1514 hartree per atom

4.
The following is a PBE calculation of crystalline Pm3Nd4SmTe8 at its relaxed geometry, from Alexandria.

Lattice parameters (Å, degrees): 8.9585 8.9585 21.9652 90.00 90.00 120.00
Space group R-3m (No. 166, hexagonal axes)
Symmetry-distinct sites (fractional):
1 Pm 0.0000 0.5000 0.0000 [9 per cell]
2 Nd 0.0000 0.0000 0.5000 [3 per cell]
3 Nd 0.0000 0.5000 0.5000 [9 per cell]
4 Sm 0.0000 0.0000 0.0000 [3 per cell]
5 Te 0.0000 0.0000 0.2509 [6 per cell]
6 Te 0.0009 0.5004 0.7489 [18 per cell]

* ΔE_f (raw): -1.4079 eV/atom

5.
The following is a PBE calculation of crystalline Na3Hg2Bi4Pd2 at its relaxed geometry, from Alexandria.

Lattice parameters (Å, degrees): 5.0394 5.0394 13.2968 90.00 90.00 120.00
Space group P-3m1 (No. 164)
Symmetry-distinct sites (fractional):
1 Na 0.0000 0.0000 0.0000 [1 per cell]
2 Na 0.0000 0.0000 0.2936 [2 per cell]
3 Hg 0.3333 0.6667 0.1112 [2 per cell]
4 Bi 0.3333 0.6667 0.4148 [2 per cell]
5 Bi 0.3333 0.6667 0.8358 [2 per cell]
6 Pd 0.3333 0.6667 0.6217 [2 per cell]

* raw total energy: -0.1104 hartree per atom

6.
The following is a PBE calculation of crystalline Cr4FeAs at its relaxed geometry, from Alexandria.

Lattice parameters (Å, degrees): 6.698 6.698 6.698 90.00 90.00 90.00
Space group F-43m (No. 216)
Symmetry-distinct sites (fractional):
1 Cr 0.124 0.124 0.124 [16 per cell]
2 Fe 0.250 0.250 0.750 [4 per cell]
3 As 0.000 0.000 0.500 [4 per cell]

* raw total energy: -0.3024 hartree per atom

7.
The following is a PBE calculation of crystalline Ac2RuPbO8 at its relaxed geometry, from Alexandria.

Lattice parameters (Å, degrees): 4.571 6.121 6.745 90.43 94.02 102.84
Space group P-1 (No. 2)
Symmetry-distinct sites (fractional):
1 Ac 0.235 0.461 0.251 [2 per cell]
2 Ru 0.500 0.000 0.500 [1 per cell]
3 Pb 0.500 0.000 0.000 [1 per cell]
4 O 0.229 0.725 0.535 [2 per cell]
5 O 0.245 0.064 0.267 [2 per cell]
6 O 0.269 0.641 0.932 [2 per cell]
7 O 0.333 0.157 0.705 [2 per cell]

* ΔE_f (raw): -1.8261 eV/atom